Arrangement A

Crystalline Y2Mg2Pb at its relaxed geometry, computed with GGA-PBE.

Cell lengths 7.507, 7.507, 4.865 Å; angles 90.00, 90.00, 90.00 degrees
Space group P4/mbm (No. 127)
Unique sites:
Y1 0.167 0.333 0.000 x4
Mg1 0.132 0.632 0.500 x4
Pb1 0.000 0.000 0.500 x2

Values from the calculation:
- DOS at the Fermi energy: 3.4 states/eV/cell
- V: 27.415 Å³/atom
- Theoretical density: 5.253 g cm⁻³
- Total magnetic moment: 0.0 μB/f.u.


Arrangement B

Crystalline Y2Mg2Pb at its relaxed geometry, computed with GGA-PBE.

Cell lengths 8.507, 8.507, 4.032 Å; angles 90.00, 90.00, 90.00 degrees
Space group P4/mbm (No. 127)
Unique sites:
Y1 0.153 0.347 0.000 x4
Mg1 0.145 0.645 0.500 x4
Pb1 0.000 0.000 0.000 x2

Values from the calculation:
- DOS at the Fermi energy: 11.1 states/eV/cell
- V: 29.180 Å³/atom
- Theoretical density: 4.935 g cm⁻³
- Total magnetic moment: 0.6 μB/f.u.


Result of the stability comparison: arrangement A is the most stable of them.


Arrangement A

Crystalline YMg2Pb2 at its relaxed geometry, computed with GGA-PBE.

Cell lengths 5.1103, 5.1103, 12.9191 Å; angles 90.00, 90.00, 120.00 degrees
Space group P6_3/mmc (No. 194)
Unique sites:
Y1 0.0000 0.0000 0.2500 x2
Mg1 0.0000 0.0000 0.0000 x2
Mg2 0.3333 0.6667 0.2500 x2
Pb1 0.3333 0.6667 0.6205 x4

Values from the calculation:
- DOS at the Fermi energy: 6.6 states/eV/cell
- V: 29.219 Å³/atom
- Theoretical density: 6.273 g cm⁻³
- Total magnetic moment: 0.0 μB/f.u.


Arrangement B

Crystalline YMg2Pb2 at its relaxed geometry, computed with GGA-PBE.

Cell lengths 4.422, 4.422, 13.984 Å; angles 90.00, 90.00, 90.00 degrees
Space group I4/mmm (No. 139)
Unique sites:
Y1 0.000 0.000 0.000 x2
Mg1 0.000 0.500 0.250 x4
Pb1 0.000 0.000 0.392 x4

Values from the calculation:
- DOS at the Fermi energy: 3.8 states/eV/cell
- V: 27.349 Å³/atom
- Theoretical density: 6.702 g cm⁻³
- Total magnetic moment: 0.0 μB/f.u.


Result of the stability comparison: arrangement B is the most stable of them.


Arrangement A

Crystalline YMg3Pb6 at its relaxed geometry, computed with GGA-PBE.

Cell lengths 10.227, 4.828, 11.283 Å; angles 90.00, 95.43, 90.00 degrees
Space group P2_1/m (No. 11)
Unique sites:
Y1 0.061 0.250 0.388 x2
Mg1 0.249 0.250 0.004 x2
Mg2 0.344 0.750 0.803 x2
Mg3 0.444 0.250 0.599 x2
Pb1 0.063 0.750 0.905 x2
Pb2 0.159 0.750 0.198 x2
Pb3 0.161 0.250 0.698 x2
Pb4 0.262 0.750 0.506 x2
Pb5 0.375 0.250 0.303 x2
Pb6 0.456 0.750 0.095 x2

Values from the calculation:
- DOS at the Fermi energy: 11.3 states/eV/cell
- V: 27.734 Å³/atom
- Theoretical density: 8.412 g cm⁻³
- Total magnetic moment: 0.0 μB/f.u.


Arrangement B

Crystalline YMg3Pb6 at its relaxed geometry, computed with GGA-PBE.

Cell lengths 4.856, 9.634, 12.875 Å; angles 90.00, 105.29, 90.00 degrees
Space group P2_1/c (No. 14)
Unique sites:
Y1 0.000 0.000 0.000 x2
Mg1 0.381 0.173 0.838 x4
Mg2 0.500 0.000 0.500 x2
Pb1 0.051 0.672 0.061 x4
Pb2 0.185 0.507 0.758 x4
Pb3 0.430 0.688 0.379 x4

Values from the calculation:
- DOS at the Fermi energy: 7.6 states/eV/cell
- V: 29.050 Å³/atom
- Theoretical density: 8.031 g cm⁻³
- Total magnetic moment: 0.0 μB/f.u.


Result of the stability comparison: arrangement A is the most stable of them.


Arrangement A

Crystalline YMgPb3 at its relaxed geometry, computed with GGA-PBE.

Cell lengths 5.898, 5.898, 5.898 Å; angles 90.00, 90.00, 90.00 degrees
Space group Pm-3m (No. 221)
Unique sites:
Y1 0.000 0.000 0.000 x1
Mg1 0.500 0.500 0.500 x1
Pb1 0.000 0.000 0.500 x3

Values from the calculation:
- DOS at the Fermi energy: 5.7 states/eV/cell
- V: 41.033 Å³/atom
- Theoretical density: 5.947 g cm⁻³
- Total magnetic moment: 0.0 μB/f.u.


Arrangement B

Crystalline YMgPb3 at its relaxed geometry, computed with GGA-PBE.

Cell lengths 5.443, 5.443, 5.443 Å; angles 90.00, 90.00, 90.00 degrees
Space group Pm-3m (No. 221)
Unique sites:
Y1 0.000 0.000 0.000 x1
Mg1 0.500 0.500 0.500 x1
Pb1 0.000 0.500 0.500 x3

Values from the calculation:
- DOS at the Fermi energy: 2.8 states/eV/cell
- V: 32.252 Å³/atom
- Theoretical density: 7.567 g cm⁻³
- Total magnetic moment: 0.0 μB/f.u.


Arrangement C

Crystalline YMgPb3 at its relaxed geometry, computed with GGA-PBE.

Cell lengths 3.515, 8.199, 10.681 Å; angles 75.77, 80.90, 79.51 degrees
Space group P-1 (No. 2)
Unique sites:
Y1 0.029 0.154 0.304 x2
Mg1 0.269 0.109 0.866 x2
Pb1 0.353 0.531 0.285 x2
Pb2 0.385 0.193 0.562 x2
Pb3 0.394 0.709 0.961 x2

Values from the calculation:
- DOS at the Fermi energy: 5.8 states/eV/cell
- V: 29.128 Å³/atom
- Theoretical density: 8.378 g cm⁻³
- Total magnetic moment: 0.0 μB/f.u.


Result of the stability comparison: arrangement C is the most stable of them.


Arrangement A

Crystalline MgZnPb3 at its relaxed geometry, computed with GGA-PBE.

Cell lengths 5.538, 5.538, 5.538 Å; angles 90.00, 90.00, 90.00 degrees
Space group Pm-3m (No. 221)
Unique sites:
Mg1 0.000 0.000 0.000 x1
Zn1 0.500 0.500 0.500 x1
Pb1 0.000 0.000 0.500 x3

Values from the calculation:
- DOS at the Fermi energy: 2.4 states/eV/cell
- V: 33.976 Å³/atom
- Theoretical density: 6.953 g cm⁻³
- Total magnetic moment: 0.0 μB/f.u.


Arrangement B

Crystalline MgZnPb3 at its relaxed geometry, computed with GGA-PBE.

Cell lengths 5.434, 5.434, 5.434 Å; angles 90.00, 90.00, 90.00 degrees
Space group Pm-3m (No. 221)
Unique sites:
Mg1 0.000 0.000 0.000 x1
Zn1 0.500 0.500 0.500 x1
Pb1 0.000 0.500 0.500 x3

Values from the calculation:
- DOS at the Fermi energy: 1.4 states/eV/cell
- V: 32.097 Å³/atom
- Theoretical density: 7.360 g cm⁻³
- Total magnetic moment: 0.0 μB/f.u.


Result of the stability comparison: arrangement B is the most stable of them.


Arrangement A

Crystalline Mg2ZnPb2 at its relaxed geometry, computed with GGA-PBE.

Cell lengths 7.271, 7.271, 4.796 Å; angles 90.00, 90.00, 90.00 degrees
Space group P4/mbm (No. 127)
Unique sites:
Mg1 0.148 0.352 0.000 x4
Zn1 0.000 0.000 0.000 x2
Pb1 0.163 0.663 0.500 x4

Values from the calculation:
- DOS at the Fermi energy: 3.1 states/eV/cell
- V: 25.360 Å³/atom
- Theoretical density: 6.920 g cm⁻³
- Total magnetic moment: 0.0 μB/f.u.


Arrangement B

Crystalline Mg2ZnPb2 at its relaxed geometry, computed with GGA-PBE.

Cell lengths 9.098, 9.098, 3.200 Å; angles 90.00, 90.00, 90.00 degrees
Space group P4/mbm (No. 127)
Unique sites:
Mg1 0.131 0.369 0.000 x4
Zn1 0.000 0.000 0.500 x2
Pb1 0.167 0.667 0.500 x4

Values from the calculation:
- DOS at the Fermi energy: 3.5 states/eV/cell
- V: 26.486 Å³/atom
- Theoretical density: 6.626 g cm⁻³
- Total magnetic moment: 0.0 μB/f.u.


Result of the stability comparison: arrangement A is the most stable of them.


Arrangement A

Crystalline Mg5ZnPb at its relaxed geometry, computed with GGA-PBE.

Cell lengths 4.635, 4.635, 7.637 Å; angles 90.00, 90.00, 90.00 degrees
Space group P4/mmm (No. 123)
Unique sites:
Mg1 0.000 0.000 0.000 x1
Mg2 0.000 0.500 0.298 x4
Zn1 0.500 0.500 0.500 x1
Pb1 0.500 0.500 0.000 x1

Values from the calculation:
- DOS at the Fermi energy: 3.4 states/eV/cell
- V: 23.434 Å³/atom
- Theoretical density: 3.990 g cm⁻³
- Total magnetic moment: 0.0 μB/f.u.


Arrangement B

Crystalline Mg5ZnPb at its relaxed geometry, computed with GGA-PBE.

Cell lengths 8.651, 8.167, 9.511 Å; angles 90.00, 94.04, 90.00 degrees
Space group C2/c (No. 15)
Unique sites:
Mg1 0.000 0.197 0.250 x4
Mg2 0.150 0.405 0.506 x8
Mg3 0.181 0.177 0.783 x8
Zn1 0.000 0.472 0.750 x4
Pb1 0.000 0.000 0.000 x4

Values from the calculation:
- DOS at the Fermi energy: 9.3 states/eV/cell
- V: 23.939 Å³/atom
- Theoretical density: 3.906 g cm⁻³
- Total magnetic moment: 0.0 μB/f.u.


Result of the stability comparison: arrangement A is the most stable of them.


Arrangement A

Crystalline Mg4ZnPb at its relaxed geometry, computed with GGA-PBE.

Cell lengths 8.285, 8.285, 8.285 Å; angles 90.00, 90.00, 90.00 degrees
Space group F-43m (No. 216)
Unique sites:
Mg1 0.125 0.125 0.125 x16
Zn1 0.000 0.000 0.500 x4
Pb1 0.250 0.250 0.750 x4

Values from the calculation:
- DOS at the Fermi energy: 19.4 states/eV/cell
- V: 23.700 Å³/atom
- Theoretical density: 4.319 g cm⁻³
- Total magnetic moment: 0.0 μB/f.u.


Arrangement B

Crystalline Mg4ZnPb at its relaxed geometry, computed with GGA-PBE.

Cell lengths 14.987, 7.555, 5.188 Å; angles 90.00, 109.88, 90.00 degrees
Space group C2/m (No. 12)
Unique sites:
Mg1 0.000 0.191 0.000 x4
Mg2 0.128 0.237 0.627 x8
Mg3 0.177 0.500 0.175 x4
Zn1 0.000 0.500 0.260 x4
Pb1 0.192 0.000 0.194 x4

Values from the calculation:
- DOS at the Fermi energy: 5.9 states/eV/cell
- V: 23.017 Å³/atom
- Theoretical density: 4.447 g cm⁻³
- Total magnetic moment: 0.0 μB/f.u.


Arrangement C

Crystalline Mg4ZnPb at its relaxed geometry, computed with GGA-PBE.

Cell lengths 8.149, 12.538, 5.646 Å; angles 90.00, 108.90, 90.00 degrees
Space group C2/c (No. 15)
Unique sites:
Mg1 0.105 0.180 0.058 x8
Mg2 0.215 0.402 0.364 x8
Zn1 0.000 0.001 0.750 x4
Pb1 0.000 0.383 0.750 x4

Values from the calculation:
- DOS at the Fermi energy: 9.5 states/eV/cell
- V: 22.740 Å³/atom
- Theoretical density: 4.501 g cm⁻³
- Total magnetic moment: 0.0 μB/f.u.


Result of the stability comparison: arrangement C is the most stable of them.